Ba2PrF6 after structural relaxation, computed with GGA-PBE.

```
Ba2PrF6
1.0
-2.111 3.181 6.402
2.111 -3.181 6.402
2.111 3.181 -6.402
Ba Pr F
2 1 6
Direct
0.155 0.155 0.000 Ba
0.845 0.845 0.000 Ba
0.500 0.500 0.000 Pr
0.123 0.339 0.785 F
0.302 0.000 0.302 F
0.446 0.661 0.785 F
0.554 0.339 0.215 F
0.698 0.000 0.698 F
0.877 0.661 0.215 F
```

* ρ: 5.11 g cm⁻³
* formation energy (no corrections): -3.71 eV/atom
* D(E_F): 0.86 states/eV per cell
* total magnetic moment: 0.95 μB/cell
* volume: 172 Å³/f.u.